SiNiF2 | PBE+U | relaxed

Calculated values
* excess energy over the best structure of this formula in the dataset: 0.0 kJ/mol of atoms

abc: 2.6457 2.6457 24.6174
angles: 90.00 90.00 120.00
Space group R-3m (No. 166, hexagonal axes)
Symmetry-distinct sites (fractional):
Si  0.0000  0.0000  0.0000 (multiplicity 3)
Ni  0.0000  0.0000  0.5000 (multiplicity 3)
F  0.0000  0.0000  0.0681 (multiplicity 6)